Model i:
This record from Alexandria describes crystalline Pr6DyTm2 at its relaxed geometry. The functional is PBE.

Results
D(E_F) ... 15.3 states/eV per cell
Total magnetic moment ... 0.0 μB/f.u.
Space-group type ... C2/m

Cell lengths 3.486, 6.190, 17.907 Å; angles 118.01, 84.41, 73.64 degrees
Atoms (fractional coordinates):
Pr1 0.437 0.189 0.937
Pr2 0.103 0.189 0.604
Pr3 0.563 0.811 0.063
Pr4 0.897 0.811 0.396
Pr5 0.229 0.812 0.730
Pr6 0.771 0.188 0.270
Tm1 0.833 0.500 0.834
Tm2 0.167 0.500 0.166
Dy1 0.500 0.500 0.500

Model ii:
This record from Alexandria describes crystalline Pr6DyTm2 at its relaxed geometry. The functional is PBE.

Results
D(E_F) ... 25.0 states/eV per cell
Total magnetic moment ... 0.0 μB/f.u.
Space-group type ... C2/c

Cell lengths 6.287, 10.180, 10.180 Å; angles 71.75, 84.89, 84.89 degrees
Atoms (fractional coordinates):
Pr1 0.319 0.741 0.021
Pr2 0.681 0.259 0.979
Pr3 0.486 0.688 0.409
Pr4 0.347 0.924 0.644
Pr5 0.653 0.076 0.356
Pr6 0.181 0.979 0.259
Pr7 0.014 0.591 0.312
Pr8 0.514 0.312 0.591
Pr9 0.847 0.644 0.924
Pr10 0.153 0.356 0.076
Pr11 0.819 0.021 0.741
Pr12 0.986 0.409 0.688
Tm1 0.584 0.435 0.232
Tm2 0.916 0.768 0.565
Tm3 0.416 0.565 0.768
Tm4 0.084 0.232 0.435
Dy1 0.250 0.101 0.899
Dy2 0.750 0.899 0.101

Relative energy of each structure, in meV/atom: model i 95; model ii 0.

Model i:
This record from Alexandria describes crystalline PrDyTm2 at its relaxed geometry. The functional is PBE.

Results
D(E_F) ... 26.4 states/eV per cell
Total magnetic moment ... 0.0 μB/f.u.
Space-group type ... P2/c

Cell lengths 6.903, 6.940, 13.062 Å; angles 122.13, 90.00, 90.00 degrees
Atoms (fractional coordinates):
Pr1 0.628 0.514 0.888
Pr2 0.628 0.986 0.612
Pr3 0.372 0.014 0.388
Pr4 0.372 0.486 0.112
Dy1 0.122 0.491 0.614
Dy2 0.878 0.509 0.386
Dy3 0.878 0.991 0.114
Dy4 0.122 0.009 0.886
Tm1 0.625 0.012 0.888
Tm2 0.125 0.512 0.887
Tm3 0.125 0.988 0.613
Tm4 0.625 0.488 0.612
Tm5 0.375 0.988 0.112
Tm6 0.375 0.512 0.388
Tm7 0.875 0.012 0.387
Tm8 0.875 0.488 0.113

Model ii:
This record from Alexandria describes crystalline PrDyTm2 at its relaxed geometry. The functional is PBE.

Results
D(E_F) ... 6.2 states/eV per cell
Total magnetic moment ... 0.0 μB/f.u.
Space-group type ... P4/mmm

Cell lengths 3.565, 3.565, 10.041 Å; angles 90.00, 90.00, 90.00 degrees
Atoms (fractional coordinates):
Dy1 0.500 0.500 0.000
Tm1 0.000 0.000 0.756
Tm2 0.000 0.000 0.244
Pr1 0.500 0.500 0.500

Model iii:
This record from Alexandria describes crystalline PrDyTm2 at its relaxed geometry. The functional is PBE.

Results
D(E_F) ... 6.8 states/eV per cell
Total magnetic moment ... 0.0 μB/f.u.
Space-group type ... Imm2

Cell lengths 3.639, 6.729, 6.729 Å; angles 55.43, 74.33, 74.33 degrees
Atoms (fractional coordinates):
Tm1 0.498 0.584 0.420
Tm2 0.002 0.080 0.916
Pr1 0.250 0.170 0.330
Dy1 0.750 0.666 0.834

Relative energy of each structure, in meV/atom: model i 186; model ii 5; model iii 0.

Model i:
This record from Alexandria describes crystalline PrDyTm4 at its relaxed geometry. The functional is PBE.

Results
D(E_F) ... 12.2 states/eV per cell
Total magnetic moment ... 1.6 μB/f.u.
Space-group type ... F-43m

Cell lengths 6.559, 6.559, 6.559 Å; angles 60.00, 60.00, 60.00 degrees
Atoms (fractional coordinates):
Tm1 0.626 0.626 0.123
Tm2 0.123 0.626 0.626
Tm3 0.626 0.626 0.626
Tm4 0.626 0.123 0.626
Dy1 0.000 0.000 0.000
Pr1 0.250 0.250 0.250

Model ii:
This record from Alexandria describes crystalline PrDyTm4 at its relaxed geometry. The functional is PBE.

Results
D(E_F) ... 8.0 states/eV per cell
Total magnetic moment ... 0.0 μB/f.u.
Space-group type ... C2/m

Cell lengths 4.979, 7.913, 11.205 Å; angles 148.15, 89.96, 108.36 degrees
Atoms (fractional coordinates):
Tm1 0.335 0.670 0.002
Tm2 0.665 0.330 0.998
Tm3 0.833 0.666 0.502
Tm4 0.167 0.334 0.498
Pr1 0.500 0.000 0.500
Dy1 0.000 0.000 0.000

Model iii:
This record from Alexandria describes crystalline PrDyTm4 at its relaxed geometry. The functional is PBE.

Results
D(E_F) ... 20.6 states/eV per cell
Total magnetic moment ... 0.0 μB/f.u.
Space-group type ... C2/c

Cell lengths 6.378, 9.014, 8.513 Å; angles 112.58, 99.73, 112.85 degrees
Atoms (fractional coordinates):
Tm1 0.808 0.427 0.267
Tm2 0.256 0.289 0.389
Tm3 0.192 0.573 0.733
Tm4 0.633 0.101 0.389
Tm5 0.744 0.711 0.611
Tm6 0.367 0.899 0.611
Tm7 0.959 0.840 0.267
Tm8 0.041 0.160 0.733
Pr1 0.334 0.584 0.168
Pr2 0.666 0.416 0.832
Dy1 0.248 0.998 0.997
Dy2 0.752 0.002 0.003

Relative energy of each structure, in meV/atom: model i 255; model ii 0; model iii 117.

Model i:
This record from Alexandria describes crystalline PrDy2Tm4 at its relaxed geometry. The functional is PBE.

Results
D(E_F) ... 10.0 states/eV per cell
Total magnetic moment ... 0.0 μB/f.u.
Space-group type ... C2/m

Cell lengths 3.508, 9.377, 8.443 Å; angles 121.57, 78.04, 111.93 degrees
Atoms (fractional coordinates):
Tm1 0.810 0.165 0.712
Tm2 0.411 0.705 0.587
Tm3 0.589 0.295 0.413
Tm4 0.190 0.835 0.288
Dy1 0.640 0.570 0.860
Dy2 0.360 0.430 0.140
Pr1 0.000 0.000 0.000

Model ii:
This record from Alexandria describes crystalline PrDy2Tm4 at its relaxed geometry. The functional is PBE.

Results
D(E_F) ... 19.8 states/eV per cell
Total magnetic moment ... 0.0 μB/f.u.
Space-group type ... P1

Cell lengths 9.345, 9.351, 9.985 Å; angles 143.28, 105.42, 94.12 degrees
Atoms (fractional coordinates):
Dy1 0.161 0.338 0.643
Dy2 0.590 0.483 0.358
Dy3 0.590 0.482 0.857
Dy4 0.873 0.909 0.496
Tm1 0.306 0.056 0.219
Tm2 0.018 0.626 0.071
Tm3 0.449 0.771 0.791
Tm4 0.872 0.906 0.999
Tm5 0.729 0.193 0.923
Tm6 0.307 0.058 0.715
Tm7 0.447 0.770 0.286
Tm8 0.730 0.193 0.427
Pr1 0.162 0.341 0.144
Pr2 0.017 0.623 0.571

Relative energy of each structure, in meV/atom: model i 11; model ii 0.

Model i:
This record from Alexandria describes crystalline Pr8DyTm2 at its relaxed geometry. The functional is PBE.

Results
D(E_F) ... 14.6 states/eV per cell
Total magnetic moment ... 0.0 μB/f.u.
Space-group type ... C2/m

Cell lengths 6.033, 9.211, 9.511 Å; angles 61.04, 74.60, 56.74 degrees
Atoms (fractional coordinates):
Pr1 0.500 0.794 0.412
Pr2 0.821 0.335 0.763
Pr3 0.179 0.665 0.237
Pr4 0.500 0.206 0.588
Pr5 0.704 0.579 0.000
Pr6 0.179 0.903 0.763
Pr7 0.296 0.421 0.000
Pr8 0.821 0.097 0.237
Dy1 0.500 0.000 0.000
Tm1 0.000 0.690 0.620
Tm2 0.000 0.310 0.380

Model ii:
This record from Alexandria describes crystalline Pr8DyTm2 at its relaxed geometry. The functional is PBE.

Results
D(E_F) ... 16.2 states/eV per cell
Total magnetic moment ... 0.0 μB/f.u.
Space-group type ... Immm

Cell lengths 5.733, 8.329, 9.549 Å; angles 115.86, 107.47, 90.00 degrees
Atoms (fractional coordinates):
Tm1 0.799 0.299 0.599
Tm2 0.201 0.701 0.401
Dy1 0.500 0.000 0.000
Pr1 0.000 0.293 0.000
Pr2 0.637 0.433 0.273
Pr3 0.837 0.837 0.673
Pr4 0.163 0.163 0.327
Pr5 0.000 0.707 0.000
Pr6 0.363 0.567 0.727
Pr7 0.363 0.160 0.727
Pr8 0.637 0.840 0.273

Relative energy of each structure, in meV/atom: model i 26; model ii 0.

Model i:
This record from Alexandria describes crystalline PrDy2Tm7 at its relaxed geometry. The functional is PBE.

Results
D(E_F) ... 14.9 states/eV per cell
Total magnetic moment ... 0.0 μB/f.u.
Space-group type ... Cmmm

Cell lengths 5.533, 9.143, 9.143 Å; angles 123.56, 90.00, 90.00 degrees
Atoms (fractional coordinates):
Tm1 0.500 0.500 0.500
Tm2 0.500 0.709 0.939
Tm3 0.000 0.787 0.213
Tm4 0.500 0.291 0.061
Tm5 0.500 0.061 0.291
Tm6 0.500 0.939 0.709
Tm7 0.000 0.213 0.787
Dy1 0.500 0.297 0.703
Dy2 0.500 0.703 0.297
Pr1 0.000 0.000 0.000

Model ii:
This record from Alexandria describes crystalline PrDy2Tm7 at its relaxed geometry. The functional is PBE.

Results
D(E_F) ... 17.1 states/eV per cell
Total magnetic moment ... 0.0 μB/f.u.
Space-group type ... C2/m

Cell lengths 5.382, 8.813, 9.359 Å; angles 118.07, 73.29, 127.69 degrees
Atoms (fractional coordinates):
Pr1 0.000 0.000 0.000
Tm1 0.500 0.500 0.000
Tm2 0.000 0.799 0.598
Tm3 0.752 0.362 0.220
Tm4 0.247 0.858 0.220
Tm5 0.248 0.638 0.780
Tm6 0.753 0.142 0.780
Tm7 0.000 0.201 0.402
Dy1 0.500 0.699 0.399
Dy2 0.500 0.301 0.601

Relative energy of each structure, in meV/atom: model i 667; model ii 0.